No. 1
DFT (GGA-PBE) results for a geometry-optimized TcPAu structure.

Its spin magnetization is 0.0 μB per cell. Its energy of formation is 4 kJ per mole of atoms. As for the space group: I4mm. The calculation puts the energy above the lowest structure with this stoichiometry at 0.019 eV per atom. For the total energy, the calculation gives -6.31 eV per atom.

Cell lengths 5.4412, 5.4412, 5.4412 Å; angles 147.33, 147.33, 46.88 degrees
Fractional coordinates of all 3 atoms:
P 0.3018 0.3018 0.0000
Tc 0.7013 0.7013 0.0000
Au 0.9969 0.9969 0.0000



No. 2
DFT (GGA-PBE) results for a geometry-optimized Tc4PAu structure.

Its spin magnetization is 0.0 μB per cell. Its energy of formation is 68 kJ per mole of atoms. As for the space group: F-43m. For the total energy, the calculation gives -7.66 eV per atom.

Cell lengths 5.1538, 5.1538, 5.1538 Å; angles 60.00, 60.00, 60.00 degrees
Fractional coordinates of all 6 atoms:
Tc 0.3752 0.8744 0.3752
Tc 0.8744 0.3752 0.3752
Tc 0.3752 0.3752 0.8744
Tc 0.3752 0.3752 0.3752
Au 0.7500 0.7500 0.7500
P 0.0000 0.0000 0.0000



No. 3
DFT (GGA-PBE) results for a geometry-optimized TcPAu structure.

Its spin magnetization is 0.0 μB per cell. Its energy of formation is 24 kJ per mole of atoms. As for the space group: Fmm2. The calculation puts the energy above the lowest structure with this stoichiometry at 0.232 eV per atom. For the total energy, the calculation gives -6.10 eV per atom.

Cell lengths 7.4590, 7.2342, 2.8174 Å; angles 83.47, 74.49, 22.04 degrees
Fractional coordinates of all 3 atoms:
P 0.6945 0.6945 0.3055
Tc 0.3154 0.3154 0.6846
Au 0.9901 0.9901 0.0099



Look up the spin magnetization of the third one. 0.0 μB per cell



Copy entry 2 word for word.
DFT (GGA-PBE) results for a geometry-optimized Tc4PAu structure.

Its spin magnetization is 0.0 μB per cell. Its energy of formation is 68 kJ per mole of atoms. As for the space group: F-43m. For the total energy, the calculation gives -7.66 eV per atom.

Cell lengths 5.1538, 5.1538, 5.1538 Å; angles 60.00, 60.00, 60.00 degrees
Fractional coordinates of all 6 atoms:
Tc 0.3752 0.8744 0.3752
Tc 0.8744 0.3752 0.3752
Tc 0.3752 0.3752 0.8744
Tc 0.3752 0.3752 0.3752
Au 0.7500 0.7500 0.7500
P 0.0000 0.0000 0.0000